## NaPrMnCl6 (PBE)

Data for an optimized crystal structure of NaPrMnCl6.

As for the raw total energy: -42.193 eV/f.u. As for the space group: P-31c.

a b c (Å): 6.8386 6.8386 12.5536
angles (deg): 90.00 90.00 120.00
Last column: nearest neighbours and their distance in Å.
Sites, in units of the cell vectors:
Cl 0.6597 0.0250 0.3678  1 Mn 2.56, 1 Pr 2.78
Cl 0.6597 0.6347 0.1322  1 Mn 2.56, 1 Pr 2.78
Cl 0.0250 0.3653 0.6322  1 Mn 2.56, 1 Pr 2.78
Cl 0.9750 0.6347 0.3678  1 Mn 2.56, 1 Pr 2.78
Cl 0.6347 0.9750 0.8678  1 Mn 2.56, 1 Pr 2.78
Cl 0.3403 0.3653 0.8678  1 Mn 2.56, 1 Pr 2.78
Cl 0.9750 0.3403 0.1322  1 Mn 2.56, 1 Pr 2.78
Cl 0.3653 0.3403 0.3678  1 Mn 2.56, 1 Pr 2.78
Cl 0.3403 0.9750 0.6322  1 Mn 2.56, 1 Pr 2.78
Cl 0.0250 0.6597 0.8678  1 Mn 2.56, 1 Pr 2.78
Cl 0.3653 0.0250 0.1322  1 Mn 2.56, 1 Pr 2.78
Cl 0.6347 0.6597 0.6322  1 Mn 2.56, 1 Pr 2.78
Na 0.0000 0.0000 0.0000  6 Cl 2.93
Na 0.0000 0.0000 0.5000  6 Cl 2.93
Pr 0.3333 0.6667 0.2500  6 Cl 2.78
Pr 0.6667 0.3333 0.7500  6 Cl 2.78
Mn 0.3333 0.6667 0.7500  6 Cl 2.56
Mn 0.6667 0.3333 0.2500  6 Cl 2.56